# 1
A plane-wave DFT calculation with PBE was carried out for crystalline NaBeN2 at its relaxed geometry.

VASP energy: -4.5114 eV per atom
E_form (uncorrected): 3.7 eV/f.u.

Geometry as CIF:
```
data_NaBeN2
_space_group_name_H-M_alt 'R -3 m'
_space_group_IT_number 166
_space_group_name_Hall '-R 3 2"'
_cell_length_a 2.9446
_cell_length_b 2.9446
_cell_length_c 17.7576
_cell_angle_alpha 90.00
_cell_angle_beta 90.00
_cell_angle_gamma 120.00
loop_
_atom_site_label
_atom_site_type_symbol
_atom_site_fract_x
_atom_site_fract_y
_atom_site_fract_z
Na1 Na 0.0000 0.0000 0.0000
Be1 Be 0.0000 0.0000 0.5000
N1 N 0.0000 0.0000 0.1256
```

=====

# 2
A plane-wave DFT calculation with PBE was carried out for crystalline NaBeN2 at its relaxed geometry.

VASP energy: -4.4091 eV per atom
E_form (uncorrected): 4.1 eV/f.u.

Geometry as CIF:
```
data_NaBeN2
_space_group_name_H-M_alt 'R -3 m'
_space_group_IT_number 166
_space_group_name_Hall '-R 3 2"'
_cell_length_a 2.8054
_cell_length_b 2.8054
_cell_length_c 19.9353
_cell_angle_alpha 90.00
_cell_angle_beta 90.00
_cell_angle_gamma 120.00
loop_
_atom_site_label
_atom_site_type_symbol
_atom_site_fract_x
_atom_site_fract_y
_atom_site_fract_z
Na1 Na 0.0000 0.0000 0.0000
Be1 Be 0.0000 0.0000 0.5000
N1 N 0.0000 0.0000 0.4224
```

=====

# 3
A plane-wave DFT calculation with PBE was carried out for crystalline Na3BeN at its relaxed geometry.

VASP energy: -2.4885 eV per atom
E above lowest polymorph: 0 meV/atom
E_form (uncorrected): 3.6 eV/f.u.

Geometry as CIF:
```
data_Na3BeN
_space_group_name_H-M_alt 'P m -3 m'
_space_group_IT_number 221
_space_group_name_Hall '-P 4 2 3'
_cell_length_a 4.734
_cell_length_b 4.734
_cell_length_c 4.734
_cell_angle_alpha 90.00
_cell_angle_beta 90.00
_cell_angle_gamma 90.00
loop_
_atom_site_label
_atom_site_type_symbol
_atom_site_fract_x
_atom_site_fract_y
_atom_site_fract_z
Na1 Na 0.000 0.000 0.500
Be1 Be 0.500 0.500 0.500
N1 N 0.000 0.000 0.000
```

=====

# 4
A plane-wave DFT calculation with PBE was carried out for crystalline NaBeNO2 at its relaxed geometry.

VASP energy: -4.8196 eV per atom
E_form (uncorrected): -0.8 eV/f.u.

Geometry as CIF:
```
data_NaBeNO2
_space_group_name_H-M_alt 'P 4/m m m'
_space_group_IT_number 123
_space_group_name_Hall '-P 4 2'
_cell_length_a 3.532
_cell_length_b 3.532
_cell_length_c 3.917
_cell_angle_alpha 90.00
_cell_angle_beta 90.00
_cell_angle_gamma 90.00
loop_
_atom_site_label
_atom_site_type_symbol
_atom_site_fract_x
_atom_site_fract_y
_atom_site_fract_z
Na1 Na 0.000 0.000 0.000
Be1 Be 0.500 0.500 0.500
N1 N 0.500 0.500 0.000
O1 O 0.000 0.500 0.500
```

=====

# 5
A plane-wave DFT calculation with PBE was carried out for crystalline NaBeN2O at its relaxed geometry.

VASP energy: -4.7317 eV per atom
E_form (uncorrected): 3.0 eV/f.u.

Geometry as CIF:
```
data_NaBeN2O
_space_group_name_H-M_alt 'P 4/m m m'
_space_group_IT_number 123
_space_group_name_Hall '-P 4 2'
_cell_length_a 3.466
_cell_length_b 3.466
_cell_length_c 3.878
_cell_angle_alpha 90.00
_cell_angle_beta 90.00
_cell_angle_gamma 90.00
loop_
_atom_site_label
_atom_site_type_symbol
_atom_site_fract_x
_atom_site_fract_y
_atom_site_fract_z
Na1 Na 0.000 0.000 0.000
Be1 Be 0.500 0.500 0.500
N1 N 0.000 0.500 0.500
O1 O 0.500 0.500 0.000
```

=====

# 6
A plane-wave DFT calculation with PBE was carried out for crystalline NaBeNO2 at its relaxed geometry.

VASP energy: -3.1280 eV per atom
E_form (uncorrected): 7.6 eV/f.u.

Geometry as CIF:
```
data_NaBeNO2
_space_group_name_H-M_alt 'P 4/m m m'
_space_group_IT_number 123
_space_group_name_Hall '-P 4 2'
_cell_length_a 4.060
_cell_length_b 4.060
_cell_length_c 4.152
_cell_angle_alpha 90.00
_cell_angle_beta 90.00
_cell_angle_gamma 90.00
loop_
_atom_site_label
_atom_site_type_symbol
_atom_site_fract_x
_atom_site_fract_y
_atom_site_fract_z
Na1 Na 0.000 0.000 0.000
Be1 Be 0.500 0.500 0.500
N1 N 0.000 0.000 0.500
O1 O 0.000 0.500 0.000
```

=====

# 7
A plane-wave DFT calculation with PBE was carried out for crystalline NaBeN2O at its relaxed geometry.

VASP energy: -3.0692 eV per atom
E_form (uncorrected): 11.3 eV/f.u.

Geometry as CIF:
```
data_NaBeN2O
_space_group_name_H-M_alt 'P 4/m m m'
_space_group_IT_number 123
_space_group_name_Hall '-P 4 2'
_cell_length_a 4.223
_cell_length_b 4.223
_cell_length_c 4.064
_cell_angle_alpha 90.00
_cell_angle_beta 90.00
_cell_angle_gamma 90.00
loop_
_atom_site_label
_atom_site_type_symbol
_atom_site_fract_x
_atom_site_fract_y
_atom_site_fract_z
Na1 Na 0.000 0.000 0.000
Be1 Be 0.500 0.500 0.500
N1 N 0.000 0.500 0.000
O1 O 0.000 0.000 0.500
```

=====

# 8
A plane-wave DFT calculation with PBE was carried out for crystalline NaBeOsN2 at its relaxed geometry.

VASP energy: -6.0204 eV per atom
E_form (uncorrected): 2.8 eV/f.u.

Geometry as CIF:
```
data_NaBeOsN2
_space_group_name_H-M_alt 'P 4/m m m'
_space_group_IT_number 123
_space_group_name_Hall '-P 4 2'
_cell_length_a 3.918
_cell_length_b 3.918
_cell_length_c 4.302
_cell_angle_alpha 90.00
_cell_angle_beta 90.00
_cell_angle_gamma 90.00
loop_
_atom_site_label
_atom_site_type_symbol
_atom_site_fract_x
_atom_site_fract_y
_atom_site_fract_z
Na1 Na 0.000 0.000 0.000
Be1 Be 0.500 0.500 0.000
Os1 Os 0.500 0.500 0.500
N1 N 0.000 0.500 0.500
```